No. 1
! ScCd2 PBE-GGA optimized geometry; values from VASP
&SYSTEM
  ibrav = 0, nat = 12, ntyp = 2
/
ATOMIC_SPECIES
Sc 44.96 Sc.upf
Cd 112.41 Cd.upf
ATOMIC_POSITIONS crystal
Sc 0.344 0.750 0.416
Cd 0.929 0.750 0.746
Sc 0.656 0.250 0.584
Sc 0.156 0.250 0.916
Cd 0.571 0.250 0.246
Sc 0.844 0.750 0.084
Cd 0.071 0.250 0.254
Cd 0.157 0.250 0.583
Cd 0.657 0.250 0.917
Cd 0.843 0.750 0.417
Cd 0.343 0.750 0.083
Cd 0.429 0.750 0.754
CELL_PARAMETERS angstrom
-1.079 5.473 2.707
0.088 -2.060 4.200
8.882 1.483 0.542
! Energy of formation from the pure elements: -0.23 eV/atom
! DOS(E_F): 1.9 states/eV/f.u.
! Space-group type: Pnma (62)



No. 2
! AcAlPdPt PBE-GGA optimized geometry; values from VASP
&SYSTEM
  ibrav = 0, nat = 4, ntyp = 4
/
ATOMIC_SPECIES
Pt 195.08 Pt.upf
Pd 106.42 Pd.upf
Al 26.98 Al.upf
Ac 227.00 Ac.upf
ATOMIC_POSITIONS crystal
Pt 0.411 0.822 0.875
Pd 0.825 0.649 0.117
Al 0.113 0.225 0.980
Ac 0.618 0.236 0.496
CELL_PARAMETERS angstrom
4.409 0.000 0.000
-2.205 3.817 0.001
0.000 -2.536 5.305
! Energy of formation from the pure elements: -1.00 eV/atom
! DOS(E_F): 2.9 states/eV/f.u.
! Space-group type: Cm (8)



No. 3
! TbGe4Os PBE-GGA optimized geometry; values from VASP
&SYSTEM
  ibrav = 0, nat = 12, ntyp = 3
/
ATOMIC_SPECIES
Tb 158.93 Tb.upf
Ge 72.64 Ge.upf
Os 190.23 Os.upf
ATOMIC_POSITIONS crystal
Tb 0.000 0.000 0.500
Ge 0.000 0.743 0.799
Ge 0.757 0.500 0.299
Ge 0.500 0.243 0.701
Tb 0.500 0.500 0.000
Ge 0.257 0.000 0.201
Ge 0.000 0.257 0.799
Ge 0.243 0.500 0.299
Ge 0.500 0.757 0.701
Ge 0.743 0.000 0.201
Os 0.500 0.500 0.500
Os 0.000 0.000 0.000
CELL_PARAMETERS angstrom
5.054 0.000 0.000
0.000 5.054 0.000
0.000 0.000 10.160
! Energy of formation from the pure elements: 0.13 eV/atom
! DOS(E_F): 4.8 states/eV/f.u.
! Space-group type: P4_2/nmc (137)



No. 4
! PuTe2Pb PBE-GGA optimized geometry; values from VASP
&SYSTEM
  ibrav = 0, nat = 4, ntyp = 3
/
ATOMIC_SPECIES
Te 127.60 Te.upf
Pu 244.00 Pu.upf
Pb 207.20 Pb.upf
ATOMIC_POSITIONS crystal
Te 0.000 0.000 0.229
Pu 0.500 0.500 0.000
Pb 0.500 0.500 0.500
Te 0.000 0.000 0.771
CELL_PARAMETERS angstrom
-0.145 0.107 3.879
1.405 -3.617 0.152
7.295 2.842 0.195
! ΔE_f (raw): -610 meV per atom
! DOS(E_F): 8.9 states/eV/f.u.
! Space-group type: P4/mmm (123)



No. 5
! TbCe2In PBE-GGA optimized geometry; values from VASP
&SYSTEM
  ibrav = 0, nat = 4, ntyp = 3
/
ATOMIC_SPECIES
In 114.82 In.upf
Tb 158.93 Tb.upf
Ce 140.12 Ce.upf
ATOMIC_POSITIONS crystal
In 0.500 0.000 0.000
Tb 0.500 0.500 0.500
Ce 0.000 0.000 0.500
Ce 0.000 0.500 0.000
CELL_PARAMETERS angstrom
5.146 0.000 0.000
0.000 4.651 0.000
0.000 0.000 4.651
! Energy of formation from the pure elements: -0.21 eV/atom
! DOS(E_F): 10.0 states/eV/f.u.
! Space-group type: P4/mmm (123)



No. 6
! Pm2ScP3Rh4 PBE-GGA optimized geometry; values from VASP
&SYSTEM
  ibrav = 0, nat = 10, ntyp = 4
/
ATOMIC_SPECIES
Rh 102.91 Rh.upf
P 30.97 P.upf
Pm 145.00 Pm.upf
Sc 44.96 Sc.upf
ATOMIC_POSITIONS crystal
Rh 0.000 0.500 0.347
P 0.000 0.000 0.500
Rh 0.000 0.000 0.000
P 0.000 0.500 0.130
Rh 0.500 0.500 0.000
Pm 0.000 0.500 0.771
Rh 0.500 0.000 0.653
P 0.500 0.000 0.870
Sc 0.500 0.500 0.500
Pm 0.500 0.000 0.229
CELL_PARAMETERS angstrom
-2.403 -1.402 2.869
3.185 -0.787 2.283
-0.643 9.966 4.331
! Energy of formation from the pure elements: -1.11 eV/atom
! DOS(E_F): 6.0 states/eV/f.u.
! Space-group type: P-4m2 (115)



No. 7
! AlCdPt2IN PBE-GGA optimized geometry; values from VASP
&SYSTEM
  ibrav = 0, nat = 6, ntyp = 5
/
ATOMIC_SPECIES
Pt 195.08 Pt.upf
I 126.90 I.upf
Cd 112.41 Cd.upf
Al 26.98 Al.upf
N 14.01 N.upf
ATOMIC_POSITIONS crystal
Pt 0.488 0.878 0.211
I 0.509 0.838 0.900
Cd 0.174 0.508 0.679
Al 0.806 0.242 0.379
N 0.970 0.914 0.208
Pt 0.485 0.886 0.501
CELL_PARAMETERS angstrom
-1.221 2.759 2.360
0.474 -0.492 3.930
8.530 3.878 -0.133
! ΔE_f (raw): -76 meV per atom
! DOS(E_F): 2.3 states/eV/f.u.
! Space-group type: Cm (8)



No. 8
! Mg14SiB PBE-GGA optimized geometry; values from VASP
&SYSTEM
  ibrav = 0, nat = 16, ntyp = 3
/
ATOMIC_SPECIES
Mg 24.30 Mg.upf
Si 28.09 Si.upf
B 10.81 B.upf
ATOMIC_POSITIONS crystal
Mg 0.160 0.840 0.257
Mg 0.502 0.004 0.500
Mg 0.160 0.840 0.743
Mg 0.996 0.498 0.500
Si 0.000 0.000 0.000
Mg 0.160 0.320 0.257
Mg 0.667 0.333 0.248
Mg 0.680 0.840 0.743
Mg 0.003 0.502 0.000
B 0.000 0.000 0.500
Mg 0.498 0.502 0.000
Mg 0.160 0.320 0.743
Mg 0.680 0.840 0.257
Mg 0.502 0.498 0.500
Mg 0.667 0.333 0.752
Mg 0.498 0.997 0.000
CELL_PARAMETERS angstrom
3.126 -5.414 0.000
3.126 5.414 0.000
0.000 0.000 9.716
! ΔE_f (raw): 203 meV per atom
! DOS(E_F): 8.4 states/eV/f.u.
! Space-group type: P-6m2 (187)



No. 9
! Cs4Tb3PaTe8 PBE-GGA optimized geometry; values from VASP
&SYSTEM
  ibrav = 0, nat = 16, ntyp = 4
/
ATOMIC_SPECIES
Te 127.60 Te.upf
Tb 158.93 Tb.upf
Cs 132.91 Cs.upf
Pa 231.04 Pa.upf
ATOMIC_POSITIONS crystal
Te 0.270 0.308 0.039
Te 0.769 0.308 0.538
Tb 0.000 0.500 0.500
Cs 0.500 0.000 0.500
Te 0.270 0.309 0.540
Tb 0.500 0.500 0.500
Cs 0.000 0.000 0.500
Te 0.730 0.692 0.961
Te 0.231 0.692 0.961
Te 0.769 0.308 0.039
Te 0.730 0.691 0.460
Te 0.231 0.692 0.462
Cs 0.000 0.000 0.000
Pa 0.000 0.500 0.000
Cs 0.500 0.000 0.000
Tb 0.500 0.500 0.000
CELL_PARAMETERS angstrom
-2.989 -8.600 0.007
9.095 -3.165 -3.924
0.435 4.675 7.800
! ΔE_f (raw): -1259 meV per atom
! DOS(E_F): 10.9 states/eV/f.u.
! Space-group type: R-3m (166)



No. 10
! Pr4SiAsBr2 PBE-GGA optimized geometry; values from VASP
&SYSTEM
  ibrav = 0, nat = 8, ntyp = 4
/
ATOMIC_SPECIES
Pr 140.91 Pr.upf
Br 79.90 Br.upf
Si 28.09 Si.upf
As 74.92 As.upf
ATOMIC_POSITIONS crystal
Pr 0.500 0.231 0.210
Br 0.000 0.500 0.500
Pr 0.000 0.742 0.209
Pr 0.500 0.769 0.790
Pr 0.000 0.258 0.791
Si 0.000 0.000 0.000
Br 0.500 0.000 0.500
As 0.500 0.500 0.000
CELL_PARAMETERS angstrom
-4.097 -0.385 1.234
-1.674 -3.152 -6.543
2.036 -5.620 5.007
! ΔE_f (raw): -1273 meV per atom
! DOS(E_F): 3.5 states/eV/f.u.
! Space-group type: P2/m (10)